Below is crystalline HfTiOs at its relaxed geometry, with properties calculated at the PBE level.

a = 4.3988 Å, b = 4.3988 Å, c = 4.4033 Å
α = 90.04°, β = 119.98°, γ = 119.94°
Atoms (fractional coordinates):
Ti  0.9446  0.4722  0.4168
Os  0.4443  0.2222  0.6665
Hf  0.9445  0.9722  0.9167

Results
The calculated volume comes out at 20.1 Å³/atom. For the density of states at the Fermi level, the calculation gives 1.24 states/eV per atom. The total energy comes out at -9.90 eV/atom. The energy of formation from the pure elements comes out at -0.20 eV per atom. The value obtained for the energy above the most stable polymorph in this dataset is 29.8 kJ/mol of atoms. Its total magnetization is 0.00 μB per cell.